1.
BeTlBr2 after structural relaxation, computed with PBE.

The structure belongs to space group F-43m (No. 216); the cell edges are 7.570, 7.570 and 7.570 Å and the angles 90.00°, 90.00° and 90.00°. The distinct sites, in fractional coordinates, are Be at (0.000, 0.000, 0.000), Tl at (0.250, 0.250, 0.250), Br at (0.000, 0.000, 0.500) and Br at (0.250, 0.250, 0.750).

The value obtained for the formation energy without anion corrections is 419 meV per atom. As for the raw total energy: -1.94 eV per atom. As for the crystal system: cubic. For the relative energy among the computed polymorphs, the calculation gives 3.57 eV per formula unit.



2.
LiEr2GeO5 after structural relaxation, computed with PBE.

The structure belongs to space group P4/mbm (No. 127); the cell edges are 6.435, 6.435 and 5.718 Å and the angles 90.00°, 90.00° and 90.00°. The distinct sites, in fractional coordinates, are Li at (0.000, 0.000, 0.000), Er at (0.177, 0.323, 0.500), Ge at (0.000, 0.500, 0.000), O at (0.000, 0.000, 0.500) and O at (0.140, 0.640, 0.250).

The value obtained for the formation energy without anion corrections is -2360 meV per atom. As for the raw total energy: -6.85 eV per atom. As for the crystal system: tetragonal.



3.
Sc2MoPt after structural relaxation, computed with PBE.

The structure belongs to space group I-42d (No. 122); the cell edges are 7.320, 7.320 and 5.774 Å and the angles 90.00°, 90.00° and 90.00°. The distinct sites, in fractional coordinates, are Sc at (0.231, 0.250, 0.125), Mo at (0.000, 0.000, 0.500) and Pt at (0.000, 0.000, 0.000).

As for the raw total energy: -7.40 eV per atom. As for the crystal system: tetragonal. As for the formation energy: -0.02 eV/atom.



4.
Ba2MgZrSe5 after structural relaxation, computed with PBE.

The structure belongs to space group Cmc2_1 (No. 36); the cell edges are 4.237, 18.694 and 13.462 Å and the angles 90.00°, 90.00° and 90.00°. The distinct sites, in fractional coordinates, are Ba at (0.000, 0.108, 0.000), Ba at (0.000, 0.128, 0.625), Mg at (0.000, 0.440, 0.766), Zr at (0.000, 0.213, 0.335), Se at (0.000, 0.066, 0.372), Se at (0.000, 0.283, 0.968), Se at (0.000, 0.304, 0.698), Se at (0.000, 0.352, 0.318) and Se at (0.000, 0.499, 0.099).

The value obtained for the formation energy without anion corrections is -1621 meV per atom. As for the raw total energy: -5.11 eV per atom. As for the crystal system: orthorhombic.



Calculated values (μB/cell) of magnetization for the records, taken in order: 3.77, 1.78, 0.01, 0.00.